VASP calculation (GGA-PBE) on YInPt2 after structural relaxation.

Results
- energy of formation from the pure elements (eV/atom) = -0.614
- density of states at the Fermi level (states/eV per atom) = 0.57
- VASP energy (eV per atom) = -5.9352
- total magnetic moment (μB per cell) = 0.00

```
YInPt2
1.0
4.811 0.000 0.000
2.405 4.166 0.000
2.405 1.389 3.928
Pt Y In
2 1 1
Direct
0.250 0.250 0.250
0.000 0.000 0.000
0.750 0.750 0.750
0.500 0.500 0.500
```